Version A
# Li2AlFeO4, relaxed, DFT GGA-PBEsol
# Total magnetic moment, μB per cell: 20.00
data_Li2AlFeO4
_chemical_formula_sum 'Li8 Al4 Fe4 O16'
_cell_length_a 7.4222
_cell_length_b 7.4757
_cell_length_c 6.3149
_cell_angle_alpha 90.00
_cell_angle_beta 90.00
_cell_angle_gamma 90.00
_space_group_name_H-M_alt 'C 2 2 21'
_space_group_IT_number 20
loop_
_space_group_symop_operation_xyz
'x,y,z'
'-x,-y,z+1/2'
'x,-y,-z'
'-x,y,-z+1/2'
'x+1/2,y+1/2,z'
'-x+1/2,-y+1/2,z+1/2'
'x+1/2,-y+1/2,-z'
'-x+1/2,y+1/2,-z+1/2'
loop_
_atom_site_label
_atom_site_fract_x
_atom_site_fract_y
_atom_site_fract_z
Li1 0.0000 0.1828 0.2500
Li2 0.1853 0.5000 0.5000
Al1 0.1739 0.5000 0.0000
Fe1 0.0000 0.1752 0.7500
O1 0.0206 0.3174 0.9908
O2 0.1909 0.0094 0.7297


Version B
# Li2AlFeO4, relaxed, DFT GGA-PBEsol
# Total magnetic moment, μB per cell: 40.00
data_Li2AlFeO4
_chemical_formula_sum 'Li16 Al8 Fe8 O32'
_cell_length_a 10.3719
_cell_length_b 5.2425
_cell_length_c 13.1326
_cell_angle_alpha 90.00
_cell_angle_beta 90.00
_cell_angle_gamma 90.00
_space_group_name_H-M_alt 'P c a 21'
_space_group_IT_number 29
loop_
_space_group_symop_operation_xyz
'x,y,z'
'-x,-y,z+1/2'
'-x+1/2,y,z+1/2'
'x+1/2,-y,z'
loop_
_atom_site_label
_atom_site_fract_x
_atom_site_fract_y
_atom_site_fract_z
Li1 0.0401 0.0543 0.0000
Li2 0.0398 0.5541 0.3733
Li3 0.2115 0.8841 0.1371
Li4 0.2134 0.3830 0.2389
Al1 0.0374 0.9528 0.7503
Al2 0.2079 0.5444 0.9952
Fe1 0.0382 0.4509 0.6237
Fe2 0.2086 0.0437 0.3799
O1 0.0141 0.3703 0.2407
O2 0.0185 0.8877 0.1392
O3 0.0394 0.9295 0.3618
O4 0.0478 0.4318 0.0069
O5 0.2057 0.0133 0.7543
O6 0.2069 0.8832 0.9850
O7 0.2111 0.4035 0.3925
O8 0.2163 0.5098 0.6155


It is version B that is the least stable of them.


Version A
# Na6Al4FeSi8O26, relaxed, DFT GGA-PBEsol
# Total magnetic moment, μB per cell: 4.00
data_Na6Al4FeSi8O26
_chemical_formula_sum 'Na6 Al4 Fe1 Si8 O26'
_cell_length_a 8.0009
_cell_length_b 8.4932
_cell_length_c 10.6421
_cell_angle_alpha 111.08
_cell_angle_beta 90.02
_cell_angle_gamma 118.10
_space_group_name_H-M_alt 'P 1'
_space_group_IT_number 1
loop_
_space_group_symop_operation_xyz
'x,y,z'
loop_
_atom_site_label
_atom_site_fract_x
_atom_site_fract_y
_atom_site_fract_z
Na1 0.0000 0.0000 0.0000
Na2 0.0693 0.1367 0.6679
Na3 0.2607 0.5280 0.2766
Na4 0.3695 0.7664 0.9529
Na5 0.6708 0.3703 0.7148
Na6 0.8014 0.6087 0.3912
Al1 0.2738 0.9530 0.4873
Al2 0.3888 0.1838 0.1806
Al3 0.6810 0.7725 0.1801
Al4 0.9768 0.3639 0.4876
Fe1 0.5080 0.0684 0.8339
Si1 0.0599 0.7703 0.7022
Si2 0.0723 0.7683 0.1814
Si3 0.3572 0.3660 0.9654
Si4 0.3726 0.3687 0.4865
Si5 0.6665 0.9530 0.4882
Si6 0.6759 0.7742 0.7019
Si7 0.7815 0.1836 0.1795
Si8 0.9697 0.3629 0.9661
O1 0.0819 0.6035 0.0432
O2 0.1034 0.8513 0.5802
O3 0.1382 0.3179 0.8993
O4 0.1757 0.9685 0.1581
O5 0.1840 0.7801 0.3155
O6 0.2183 0.4383 0.4735
O7 0.2382 0.8752 0.8286
O8 0.2763 0.1685 0.5099
O9 0.3198 0.2852 0.0875
O10 0.4298 0.2606 0.8388
O11 0.4723 0.3569 0.3524
O12 0.4892 0.6040 0.0376
O13 0.5078 0.0121 0.5452
O14 0.5469 0.5335 0.6248
O15 0.5637 0.1247 0.1226
O16 0.5861 0.7892 0.3304
O17 0.5868 0.8709 0.8174
O18 0.7202 0.8533 0.5783
O19 0.7836 0.2668 0.8508
O20 0.7936 0.9911 0.1586
O21 0.8483 0.6984 0.1944
O22 0.8651 0.3473 0.3374
O23 0.8713 0.1453 0.5091
O24 0.8894 0.8189 0.7685
O25 0.9348 0.2835 0.0896
O26 0.9533 0.5323 0.6299


Version B
# Na6Al4FeSi8O26, relaxed, DFT GGA-PBEsol
# Density of states at the Fermi level, states/eV/atom: 0.008
# Total magnetic moment, μB per cell: 8.00
data_Na6Al4FeSi8O26
_chemical_formula_sum 'Na12 Al8 Fe2 Si16 O52'
_cell_length_a 14.9611
_cell_length_b 8.0260
_cell_length_c 10.6456
_cell_angle_alpha 90.00
_cell_angle_beta 114.52
_cell_angle_gamma 90.00
_space_group_name_H-M_alt 'C 1 2/m 1'
_space_group_IT_number 12
loop_
_space_group_symop_operation_xyz
'x,y,z'
'-x,-y,-z'
'-x,y,-z'
'x,-y,z'
'x+1/2,y+1/2,z'
'-x+1/2,-y+1/2,-z'
'-x+1/2,y+1/2,-z'
'x+1/2,-y+1/2,z'
loop_
_atom_site_label
_atom_site_fract_x
_atom_site_fract_y
_atom_site_fract_z
Na1 0.0341 0.0000 0.3341
Na2 0.1474 0.5000 0.3774
Na3 0.2296 0.0000 0.9383
Al1 0.0561 0.3007 0.8464
Fe1 0.0000 0.5000 0.5000
Si1 0.1478 0.1926 0.6317
Si2 0.1500 0.1918 0.1555
O1 0.0225 0.5000 0.7895
O2 0.0487 0.1851 0.1738
O3 0.0972 0.3230 0.5094
O4 0.1088 0.1853 0.7534
O5 0.1328 0.0000 0.5651
O6 0.1454 0.2886 0.0192
O7 0.1888 0.0000 0.1487
O8 0.2308 0.2871 0.2926


It is version B that is the least stable of them.